This record from the Alexandria database describes a geometry-optimized KCdSn2Pb structure. The functional is PBE.

Cell lengths 4.8534, 5.4787, 7.1588 Å; angles 112.50, 109.81, 90.00 degrees
With the nearest neighbours (Å) after each atom.
Element x y z (fractional)
K 0.4417 0.4417 0.8833  6 Sn 3.79-3.93, 4 Pb 3.82-4.22, 4 Cd 3.93
Cd 0.8257 0.8257 0.6513  3 Sn 2.86-3.11, 2 Pb 3.01
Sn 0.7056 0.2056 0.4111  2 Sn 3.03, 2 Cd 3.11
Sn 0.0581 0.0581 0.1162  1 Cd 2.86, 2 Sn 3.03, 2 Pb 3.13
Pb 0.1811 0.6811 0.3623  2 Cd 3.01, 2 Sn 3.13

Computed properties:
Space group: Imm2, No. 44
DFT formation energy: -136 meV/atom